(1)
# AcSmAg2 PBE-GGA relaxed
data_AcSmAg2
_chemical_formula_sum 'Ac4 Sm4 Ag8'
_cell_length_a 7.6960
_cell_length_b 7.6960
_cell_length_c 7.6960
_cell_angle_alpha 90.00
_cell_angle_beta 90.00
_cell_angle_gamma 90.00
_space_group_name_H-M_alt 'F m -3 m'
_space_group_IT_number 225
_space_group_name_Hall '-F 4 2 3'
loop_
_atom_site_label
_atom_site_type_symbol
_atom_site_fract_x
_atom_site_fract_y
_atom_site_fract_z
Ac1 Ac 0.0000 0.0000 0.0000
Sm1 Sm 0.0000 0.0000 0.5000
Ag1 Ag 0.2500 0.2500 0.2500
# excess energy over the best structure of this formula in the dataset: 2.7 kJ/mol of atoms
# uncorrected energy: -3.870 eV per atom
# formation energy: -0.24 eV per atom

(2)
# PrMgInRh PBE-GGA relaxed
data_PrMgInRh
_chemical_formula_sum 'Pr4 Mg4 In4 Rh4'
_cell_length_a 7.1139
_cell_length_b 7.1139
_cell_length_c 7.1139
_cell_angle_alpha 90.00
_cell_angle_beta 90.00
_cell_angle_gamma 90.00
_space_group_name_H-M_alt 'F -4 3 m'
_space_group_IT_number 216
_space_group_name_Hall 'F -4 2 3'
loop_
_atom_site_label
_atom_site_type_symbol
_atom_site_fract_x
_atom_site_fract_y
_atom_site_fract_z
Pr1 Pr 0.0000 0.0000 0.0000
Mg1 Mg 0.0000 0.0000 0.5000
In1 In 0.2500 0.2500 0.7500
Rh1 Rh 0.2500 0.2500 0.2500
# uncorrected energy: -4.460 eV per atom
# formation energy: -0.34 eV per atom

(3)
# YHfCl PBE-GGA relaxed
data_YHfCl
_chemical_formula_sum 'Y4 Hf4 Cl4'
_cell_length_a 10.2849
_cell_length_b 3.3196
_cell_length_c 9.4530
_cell_angle_alpha 90.00
_cell_angle_beta 115.68
_cell_angle_gamma 90.00
_space_group_name_H-M_alt 'C 1 2/m 1'
_space_group_IT_number 12
loop_
_space_group_symop_operation_xyz
'x,y,z'
'-x,-y,-z'
'-x,y,-z'
'x,-y,z'
'x+1/2,y+1/2,z'
'-x+1/2,-y+1/2,-z'
'-x+1/2,y+1/2,-z'
'x+1/2,-y+1/2,z'
loop_
_atom_site_label
_atom_site_type_symbol
_atom_site_fract_x
_atom_site_fract_y
_atom_site_fract_z
Y1 Y 0.0266 0.0000 0.2007
Hf1 Hf 0.1684 0.0000 0.5707
Cl1 Cl 0.2113 0.5000 0.8257
# uncorrected energy: -6.669 eV per atom
# ΔE_f (raw): -0.581 eV/atom